VASP calculation (PBE-GGA) on a geometry-optimized Na3TeH2 structure.

## Properties
Total moment in μB per cell: 0.0
E in eV/atom: -2.581
N(E_F) in states/eV per atom: 0.221

Cell: 23.204 3.354 7.210 Å, 90.00 103.91 90.00°
Space group C2/m (No. 12)
Symmetry-distinct sites (fractional):
Na: 0.048 0.000 0.196 x4
Na: 0.105 0.500 0.829 x4
Na: 0.233 0.000 0.187 x4
Te: 0.150 0.500 0.448 x4
H: 0.048 0.000 0.882 x4
H: 0.195 0.500 0.994 x4



VASP calculation (PBE-GGA) on a geometry-optimized NaTeH2 structure.

## Properties
Total moment in μB per cell: 0.0
N(E_F) in states/eV per atom: 0.299
Excess energy over the best structure of this formula in the dataset in meV per atom: 60.7

Cell: 5.517 5.809 5.645 Å, 90.00 117.39 90.00°
Space group P2_1/m (No. 11)
Symmetry-distinct sites (fractional):
Na: 0.218 0.250 0.276 x2
Te: 0.448 0.750 0.064 x2
H: 0.106 0.685 0.426 x4



VASP calculation (PBE-GGA) on a geometry-optimized Na2TeH structure.

## Properties
Total moment in μB per cell: 0.0
N(E_F) in states/eV per atom: 0.908
Excess energy over the best structure of this formula in the dataset in meV per atom: 109.7

Cell: 6.769 6.769 8.334 Å, 90.00 90.00 90.00°
Space group I-42d (No. 122)
Symmetry-distinct sites (fractional):
Na: 0.126 0.250 0.125 x8
Te: 0.000 0.000 0.500 x4
H: 0.000 0.000 0.000 x4



VASP calculation (PBE-GGA) on a geometry-optimized NaTe2H8 structure.

## Properties
Total moment in μB per cell: 0.0
E in eV/atom: -3.166
N(E_F) in states/eV per atom: 0.286

Cell: 5.693 9.505 6.958 Å, 90.00 98.52 90.00°
Space group C2/m (No. 12)
Symmetry-distinct sites (fractional):
Na: 0.000 0.000 0.000 x2
Te: 0.232 0.000 0.443 x4
H: 0.016 0.252 0.055 x8
H: 0.141 0.500 0.069 x4
H: 0.187 0.500 0.177 x4



VASP calculation (PBE-GGA) on a geometry-optimized NaTeH2 structure.

## Properties
Total moment in μB per cell: 0.0
N(E_F) in states/eV per atom: 0.000
Excess energy over the best structure of this formula in the dataset in meV per atom: 0.0

Cell: 4.965 4.989 7.804 Å, 96.98 95.09 91.06°
Space group P1 (No. 1)
Symmetry-distinct sites (fractional):
Na: 0.000 0.000 0.000 x1
Na: 0.072 0.897 0.498 x1
Te: 0.019 0.448 0.748 x1
Te: 0.535 0.933 0.245 x1
H: 0.098 0.467 0.239 x1
H: 0.540 0.602 0.173 x1
H: 0.684 0.423 0.690 x1
H: 0.991 0.391 0.279 x1



VASP calculation (PBE-GGA) on a geometry-optimized Na4Te2H structure.

## Properties
Total moment in μB per cell: 0.0
E in eV/atom: -2.699
N(E_F) in states/eV per atom: 0.718

Cell: 4.531 4.531 17.294 Å, 90.00 90.00 90.00°
Space group I4/mmm (No. 139)
Symmetry-distinct sites (fractional):
Na: 0.000 0.000 0.175 x4
Na: 0.000 0.500 0.000 x4
Te: 0.000 0.000 0.360 x4
H: 0.000 0.000 0.000 x2



VASP calculation (PBE-GGA) on a geometry-optimized NaTeH2 structure.

## Properties
Total moment in μB per cell: 0.0
N(E_F) in states/eV per atom: 0.322
Excess energy over the best structure of this formula in the dataset in meV per atom: 30.6

Cell: 10.251 3.220 4.516 Å, 90.00 103.69 90.00°
Space group Cm (No. 8)
Symmetry-distinct sites (fractional):
Na: 0.000 0.000 0.000 x2
Te: 0.177 0.500 0.618 x2
H: 0.339 0.000 0.138 x2
H: 0.398 0.000 0.280 x2



VASP calculation (PBE-GGA) on a geometry-optimized NaTeH3 structure.

## Properties
Total moment in μB per cell: 0.0
N(E_F) in states/eV per atom: 0.435
Excess energy over the best structure of this formula in the dataset in meV per atom: 417.4

Cell: 3.905 3.905 3.905 Å, 90.00 90.00 90.00°
Space group Pm-3m (No. 221)
Symmetry-distinct sites (fractional):
Na: 0.000 0.000 0.000 x1
Te: 0.500 0.500 0.500 x1
H: 0.000 0.000 0.500 x3



VASP calculation (PBE-GGA) on a geometry-optimized Na3Te2H2 structure.

## Properties
Total moment in μB per cell: 0.0
E in eV/atom: -2.556
N(E_F) in states/eV per atom: 0.321

Cell: 11.628 3.211 9.039 Å, 90.00 114.17 90.00°
Space group C2/m (No. 12)
Symmetry-distinct sites (fractional):
Na: 0.000 0.000 0.000 x2
Na: 0.085 0.000 0.389 x4
Te: 0.190 0.500 0.734 x4
H: 0.010 0.500 0.811 x4



VASP calculation (PBE-GGA) on a geometry-optimized NaTeH2 structure.

## Properties
Total moment in μB per cell: 0.0
N(E_F) in states/eV per atom: 0.179
Excess energy over the best structure of this formula in the dataset in meV per atom: 481.7

Cell: 4.398 4.398 14.920 Å, 90.00 90.00 90.00°
Space group I4_1/amd (No. 141, origin choice 2)
Symmetry-distinct sites (fractional):
Na: 0.000 0.250 0.375 x4
Te: 0.000 0.250 0.875 x4
H: 0.000 0.000 0.000 x8



VASP calculation (PBE-GGA) on a geometry-optimized Na2TeH structure.

## Properties
Total moment in μB per cell: 0.0
N(E_F) in states/eV per atom: 0.385
Excess energy over the best structure of this formula in the dataset in meV per atom: 0.0

Cell: 7.667 7.667 3.208 Å, 90.00 90.00 90.00°
Space group P4/mbm (No. 127)
Symmetry-distinct sites (fractional):
Na: 0.147 0.353 0.000 x4
Te: 0.000 0.000 0.500 x2
H: 0.000 0.500 0.500 x2



VASP calculation (PBE-GGA) on a geometry-optimized NaTeH6 structure.

## Properties
Total moment in μB per cell: 0.0
E in eV/atom: -2.952
N(E_F) in states/eV per atom: 0.120

Cell: 6.662 12.292 3.445 Å, 90.00 115.03 90.00°
Space group C2/m (No. 12)
Symmetry-distinct sites (fractional):
Na: 0.000 0.000 0.000 x2
Te: 0.000 0.500 0.500 x2
H: 0.063 0.192 0.550 x8
H: 0.223 0.500 0.249 x4



> The highest N(E_F) belongs to which entry?

number 3